Entry 1:
Crystalline ScTaTi2 at its relaxed geometry, computed with PBE.

Computed properties:
Raw total energy = -7.9059 eV/atom
Symmetry = I-42d, No. 122
Formation enthalpy at 0 K = 588 meV per atom

The structure in POSCAR format:
```
ScTaTi2
1.0
-4.486 5.197 2.517
-4.030 -5.101 3.349
-2.629 0.311 5.294
Sc Ti Ta
2 4 2
Direct
0.500 0.500 0.000
0.250 0.750 0.500
0.633 0.125 0.250
0.117 0.625 0.250
0.375 0.367 0.750
0.875 0.883 0.750
0.000 0.000 0.000
0.750 0.250 0.500
```

Entry 2:
Crystalline Pm4Ho3Tm5 at its relaxed geometry, computed with PBE.

Computed properties:
Raw total energy = -4.3546 eV/atom
Symmetry = C2/m, No. 12
Formation enthalpy at 0 K = 236 meV per atom

The structure in POSCAR format:
```
Pm4Ho3Tm5
1.0
-1.144 2.007 5.414
-8.235 -1.090 1.864
4.765 -5.518 6.253
Pm Ho Tm
4 3 5
Direct
0.862 0.223 0.053
0.168 0.048 0.617
0.832 0.952 0.383
0.138 0.777 0.947
0.526 0.688 0.261
0.000 0.500 0.500
0.474 0.312 0.739
0.632 0.938 0.798
0.500 0.500 0.500
0.211 0.460 0.119
0.789 0.540 0.881
0.368 0.062 0.202
```

Entry 3:
Crystalline Tc2Ru6Rh at its relaxed geometry, computed with PBE.

Computed properties:
Raw total energy = -9.0949 eV/atom
Symmetry = P-1, No. 2
Formation enthalpy at 0 K = 209 meV per atom

The structure in POSCAR format:
```
Tc2Ru6Rh
1.0
4.753 -0.280 -0.448
-0.474 7.615 4.204
-0.681 1.739 8.243
Tc Ru Rh
4 12 2
Direct
0.508 0.808 0.642
0.982 0.342 0.189
0.492 0.192 0.358
0.018 0.658 0.811
0.666 0.529 0.634
0.845 0.368 0.481
0.334 0.471 0.366
0.155 0.632 0.519
0.889 0.961 0.375
0.628 0.613 0.050
0.111 0.039 0.625
0.372 0.387 0.950
0.141 0.813 0.028
0.367 0.992 0.206
0.859 0.187 0.972
0.633 0.008 0.794
0.288 0.220 0.783
0.712 0.780 0.217
```

Entry 4:
Crystalline YHo2ErTm6 at its relaxed geometry, computed with PBE.

Computed properties:
Raw total energy = -4.5812 eV/atom
Symmetry = C2/c, No. 15
Formation enthalpy at 0 K = 120 meV per atom

The structure in POSCAR format:
```
YHo2ErTm6
1.0
-3.104 0.818 8.853
-7.443 -3.373 -2.909
6.405 -5.445 2.138
Y Ho Er Tm
2 4 2 12
Direct
0.250 0.977 0.023
0.750 0.023 0.977
0.456 0.804 0.694
0.044 0.306 0.196
0.544 0.196 0.306
0.956 0.694 0.804
0.250 0.409 0.591
0.750 0.591 0.409
0.057 0.128 0.750
0.443 0.250 0.872
0.943 0.872 0.250
0.557 0.750 0.128
0.315 0.979 0.429
0.185 0.571 0.021
0.685 0.021 0.571
0.815 0.429 0.979
0.119 0.711 0.498
0.381 0.502 0.289
0.881 0.289 0.502
0.619 0.498 0.711
```